[1]
PBE BeAsPt3, optimized geometry; polymorph energy (0 for the lowest one) = 665 meV/atom; space-group type = Pm-3m; calculated formation energy = 0.77 eV/atom; spin magnetization = 0.000 Bohr magnetons per cell
1.0
4.636 0.000 0.000
0.000 4.636 0.000
0.000 0.000 4.636
Be As Pt
1 1 3
Direct
0.000 0.000 0.000
0.500 0.500 0.500
0.000 0.500 0.500
0.500 0.000 0.500
0.500 0.500 0.000

***

[2]
PBE Ac8Os3Br3N, optimized geometry; E_form (uncorrected) = -0.659 eV/atom; space-group type = C2/m; spin magnetization = 0.774 Bohr magnetons per cell
1.0
7.393 -4.269 0.000
7.393 4.269 0.000
-4.941 0.000 8.276
Ac Os Br N
8 3 3 1
Direct
0.220 0.220 0.682
0.221 0.742 0.683
0.258 0.779 0.317
0.266 0.266 0.299
0.734 0.734 0.701
0.742 0.221 0.683
0.779 0.258 0.317
0.780 0.780 0.318
0.000 0.500 0.500
0.500 0.000 0.500
0.500 0.500 0.500
0.000 0.000 0.000
0.000 0.500 0.000
0.500 0.000 0.000
0.000 0.000 0.500

***

[3]
PBE BaCd11Hg, optimized geometry; space-group type = C2/m; calculated formation energy = -0.13 eV/atom; spin magnetization = 0.000 Bohr magnetons per cell
1.0
3.017 -7.279 0.000
3.017 7.279 0.000
-3.001 0.000 7.266
Ba Cd Hg
1 11 1
Direct
0.000 0.000 0.000
0.000 0.500 0.000
0.003 0.361 0.356
0.281 0.501 0.781
0.361 0.003 0.356
0.499 0.719 0.219
0.500 0.000 0.000
0.500 0.500 0.500
0.501 0.281 0.781
0.639 0.997 0.644
0.719 0.499 0.219
0.997 0.639 0.644
0.000 0.000 0.500

***

[4]
PBE NiP2HS, optimized geometry; polymorph energy (0 for the lowest one) = 0 meV/atom; space-group type = P4/mmm; spin magnetization = 0.000 Bohr magnetons per cell
1.0
3.532 0.000 0.000
0.000 3.532 0.000
0.000 0.000 4.885
Ni P H S
1 2 1 1
Direct
0.000 0.000 0.000
0.000 0.500 0.500
0.500 0.000 0.500
0.500 0.500 0.500
0.500 0.500 0.000

***

[5]
PBE Ac8AsPb5, optimized geometry; space-group type = I-4; calculated formation energy = -0.64 eV/atom; spin magnetization = 0.000 Bohr magnetons per cell
1.0
-5.083 5.083 5.132
5.083 -5.083 5.132
5.083 5.083 -5.132
Ac As Pb
8 1 5
Direct
0.003 0.130 0.738
0.237 0.486 0.610
0.373 0.763 0.250
0.391 0.264 0.262
0.514 0.124 0.750
0.736 0.997 0.127
0.870 0.609 0.873
0.876 0.627 0.390
0.750 0.250 0.500
0.002 0.373 0.126
0.124 0.998 0.371
0.248 0.876 0.874
0.500 0.500 0.000
0.627 0.752 0.629

***

[6]
PBE Tb8Al2Fe, optimized geometry; space-group type = C2/m; calculated formation energy = -0.11 eV/atom; spin magnetization = 0.000 Bohr magnetons per cell
1.0
8.526 -2.704 0.000
8.526 2.704 0.000
-2.614 0.000 6.296
Tb Al Fe
8 2 1
Direct
0.008 0.008 0.265
0.198 0.198 0.740
0.362 0.362 0.596
0.392 0.392 0.102
0.608 0.608 0.898
0.638 0.638 0.404
0.802 0.802 0.260
0.992 0.992 0.735
0.182 0.182 0.188
0.818 0.818 0.812
0.500 0.500 0.500